# 1
The following is a GGA-PBE calculation of a relaxed structure of TbPd2Au, from Alexandria via LeMat-Bulk.

abc: 4.062 4.247 4.247
angles: 90.00 90.00 90.00
Fractional positions:
Pd: 0.000 0.500 0.000
Pd: 0.000 0.000 0.500
Tb: 0.500 0.500 0.500
Au: 0.500 0.000 0.000

Results
Symmetry ... P4/mmm
Energy relative to the elements ... -0.84 eV per atom

# 2
The following is a GGA-PBE calculation of a relaxed structure of FeBi2Br2, from Alexandria via LeMat-Bulk.

abc: 7.456 7.456 5.714
angles: 90.00 90.00 90.00
Fractional positions:
Bi: 0.254 0.246 0.000
Br: 0.186 0.686 0.500
Br: 0.686 0.814 0.500
Bi: 0.246 0.746 0.000
Bi: 0.746 0.754 0.000
Fe: 0.500 0.500 0.000
Br: 0.814 0.314 0.500
Bi: 0.754 0.254 0.000
Br: 0.314 0.186 0.500
Fe: 0.000 0.000 0.000

Results
Symmetry ... P4/mbm
ΔE_f (raw) ... 76 kJ/mol of formula units

# 3
The following is a GGA-PBE calculation of a relaxed structure of HoPa4Ge5, from Alexandria via LeMat-Bulk.

abc: 4.145 5.847 10.920
angles: 105.53 100.94 90.00
Fractional positions:
Pa: 0.801 0.801 0.601
Ho: 0.000 0.000 0.000
Ge: 0.200 0.700 0.399
Pa: 0.199 0.199 0.399
Ge: 0.800 0.300 0.601
Pa: 0.401 0.401 0.801
Ge: 0.601 0.101 0.203
Pa: 0.599 0.599 0.199
Ge: 0.399 0.899 0.797
Ge: 0.000 0.500 0.000

Results
Symmetry ... Immm
Energy relative to the elements ... -0.51 eV per atom

# 4
The following is a GGA-PBE calculation of a relaxed structure of CoGeWSe2, from Alexandria via LeMat-Bulk.

abc: 4.848 4.225 4.848
angles: 90.00 90.00 90.00
Fractional positions:
Se: 0.000 0.000 0.500
Se: 0.500 0.000 0.000
W: 0.500 0.500 0.500
Co: 0.000 0.500 0.000
Ge: 0.000 0.000 0.000

Results
Symmetry ... P4/mmm
ΔE_f (raw) ... 770 kJ/mol of formula units

# 5
The following is a GGA-PBE calculation of a relaxed structure of PrMg2ZnAg4, from Alexandria via LeMat-Bulk.

abc: 4.650 4.650 9.283
angles: 75.50 75.50 60.00
Fractional positions:
Mg: 0.760 0.760 0.721
Mg: 0.240 0.240 0.279
Pr: 0.000 0.000 0.000
Ag: 0.600 0.600 0.199
Zn: 0.500 0.500 0.500
Ag: 0.131 0.131 0.608
Ag: 0.869 0.869 0.392
Ag: 0.400 0.400 0.801

Results
Symmetry ... R-3m
Energy relative to the elements ... -0.18 eV per atom

# 6
The following is a GGA-PBE calculation of a relaxed structure of ScTa3Ga, from Alexandria via LeMat-Bulk.

abc: 4.789 4.789 4.789
angles: 90.00 90.00 90.00
Fractional positions:
Sc: 0.500 0.500 0.500
Ta: 0.000 0.000 0.500
Ta: 0.000 0.500 0.000
Ga: 0.000 0.000 0.000
Ta: 0.500 0.000 0.000

Results
Symmetry ... Pm-3m
Energy relative to the elements ... 0.98 eV per atom

# 7
The following is a GGA-PBE calculation of a relaxed structure of H3SF, from Alexandria via LeMat-Bulk.

abc: 4.308 4.559 6.378
angles: 90.00 90.00 80.43
Fractional positions:
H: 0.060 0.939 0.250
H: 0.744 0.256 0.116
F: 0.609 0.392 0.250
H: 0.256 0.744 0.884
S: 0.000 0.000 0.500
H: 0.744 0.256 0.384
H: 0.256 0.744 0.616
S: 0.000 0.000 0.000
F: 0.391 0.608 0.750
H: 0.940 0.061 0.750

Results
Symmetry ... P2_1/m

# 8
The following is a GGA-PBE calculation of a relaxed structure of K2DyTlF6, from Alexandria via LeMat-Bulk.

abc: 6.575 6.575 6.794
angles: 61.05 61.05 59.99
Fractional positions:
K: 0.026 0.026 0.922
F: 0.416 0.656 0.792
K: 0.535 0.535 0.394
F: 0.218 0.987 0.234
Dy: 0.319 0.319 0.042
F: 0.987 0.561 0.234
F: 0.137 0.416 0.792
F: 0.561 0.218 0.234
Tl: 0.806 0.806 0.581
F: 0.656 0.137 0.792

Results
Symmetry ... R3
ΔE_f (raw) ... -3027 kJ/mol of formula units

# 9
The following is a GGA-PBE calculation of a relaxed structure of Mg2MnCr, from Alexandria via LeMat-Bulk.

abc: 5.544 5.544 5.544
angles: 147.18 129.73 61.34
Fractional positions:
Cr: 0.739 0.239 0.500
Mn: 0.508 0.508 0.000
Mg: 0.993 0.993 0.000
Mg: 0.260 0.760 0.500

Results
Symmetry ... Imm2
Energy relative to the elements ... 0.48 eV per atom

# 10
The following is a GGA-PBE calculation of a relaxed structure of Nd2Dy3Ho6Zr, from Alexandria via LeMat-Bulk.

abc: 6.100 6.100 11.659
angles: 94.98 94.98 119.93
Fractional positions:
Ho: 0.917 0.591 0.753
Ho: 0.591 0.917 0.753
Nd: 0.667 0.333 0.000
Dy: 0.166 0.834 0.500
Dy: 0.834 0.166 0.500
Zr: 0.000 0.000 0.000
Ho: 0.756 0.756 0.247
Dy: 0.500 0.500 0.500
Ho: 0.244 0.244 0.753
Ho: 0.409 0.083 0.247
Nd: 0.333 0.667 0.000
Ho: 0.083 0.409 0.247

Results
Symmetry ... C2/m
Energy relative to the elements ... 0.05 eV per atom

# 11
The following is a GGA-PBE calculation of a relaxed structure of CoMoPt, from Alexandria via LeMat-Bulk.

abc: 4.060 4.060 4.060
angles: 60.00 60.00 60.00
Fractional positions:
Co: 0.750 0.750 0.750
Mo: 0.000 0.000 0.000
Pt: 0.500 0.500 0.500

Results
Symmetry ... F-43m
Energy relative to the elements ... 0.32 eV per atom

# 12
The following is a GGA-PBE calculation of a relaxed structure of InAu2N, from Alexandria via LeMat-Bulk.

abc: 5.544 5.544 7.084
angles: 66.96 66.96 90.00
Fractional positions:
Au: 0.299 0.625 0.250
In: 0.750 0.250 0.500
Au: 0.875 0.701 0.750
Au: 0.451 0.125 0.250
N: 0.500 0.500 0.000
Au: 0.375 0.549 0.750
N: 0.250 0.750 0.500
In: 0.000 0.000 0.000

Results
Symmetry ... I-42d
ΔE_f (raw) ... 197 kJ/mol of formula units

What electronic total energy values result from the calculations? In sequence: -5.41 -3.76 -7.08 -4.73 -2.76 -8.00 -3.57 -5.18 -5.01 -4.89 -7.68 -3.89 eV/atom.
What volume values result from the calculations? In sequence: 18.32 31.77 25.00 19.86 20.80 21.97 12.35 21.09 17.59 30.85 15.78 22.67 A^3/atom.